Compound: La2MgP
Source: the Alexandria database
Functional: PBEsol
Structure: relaxed

Summary:
E: -5.230 eV/atom
magnetic moment: 0.00 μB per formula unit
DOS(E_F): 3.64 states/eV/f.u.
E_form: -679.3 meV per atom
theoretical density: 5.34 g cm⁻³
energy above the most stable polymorph in this dataset: 0.00 eV/f.u.

a = 3.782 Å, b = 3.782 Å, c = 7.242 Å
α = 90.00°, β = 90.00°, γ = 90.00°
Fractional coordinates of all 4 atoms:
La 0.000 0.000 0.214
La 0.000 0.000 0.786
Mg 0.500 0.500 0.500
P 0.500 0.500 0.000



Compound: La2MgP
Source: the Alexandria database
Functional: PBEsol
Structure: relaxed

Summary:
E: -4.908 eV/atom
magnetic moment: 0.00 μB per formula unit
DOS(E_F): 4.34 states/eV/f.u.
E_form: -357.2 meV per atom
theoretical density: 5.29 g cm⁻³
energy above the most stable polymorph in this dataset: 1.29 eV/f.u.

a = 3.537 Å, b = 3.537 Å, c = 8.356 Å
α = 90.00°, β = 90.00°, γ = 90.00°
Fractional coordinates of all 4 atoms:
La 0.000 0.000 0.000
La 0.500 0.500 0.365
Mg 0.000 0.000 0.639
P 0.500 0.500 0.784



Compound: La2MgP
Source: the Alexandria database
Functional: PBEsol
Structure: relaxed

Summary:
E: -4.937 eV/atom
magnetic moment: 0.01 μB per formula unit
DOS(E_F): 7.01 states/eV/f.u.
E_form: -386.8 meV per atom
theoretical density: 4.71 g cm⁻³
energy above the most stable polymorph in this dataset: 1.17 eV/f.u.

a = 4.364 Å, b = 4.364 Å, c = 6.162 Å
α = 90.00°, β = 90.00°, γ = 90.00°
Fractional coordinates of all 4 atoms:
La 0.000 0.000 0.000
La 0.500 0.500 0.494
Mg 0.000 0.000 0.502
P 0.500 0.500 0.996



Compound: LaMgP2
Source: the Alexandria database
Functional: PBEsol
Structure: relaxed

Summary:
E: -5.401 eV/atom
magnetic moment: 0.00 μB per formula unit
DOS(E_F): 2.28 states/eV/f.u.
E_form: -739.3 meV per atom
theoretical density: 4.59 g cm⁻³

a = 6.417 Å, b = 6.760 Å, c = 3.755 Å
α = 90.00°, β = 90.00°, γ = 90.00°
Fractional coordinates of all 8 atoms:
La 0.000 0.000 0.000
La 0.500 0.500 0.000
Mg 0.000 0.500 0.000
Mg 0.500 0.000 0.000
P 0.250 0.250 0.500
P 0.250 0.750 0.500
P 0.750 0.250 0.500
P 0.750 0.750 0.500



Compound: LaMgP2
Source: the Alexandria database
Functional: PBEsol
Structure: relaxed

Summary:
E: -5.390 eV/atom
magnetic moment: 0.00 μB per formula unit
DOS(E_F): 4.36 states/eV/f.u.
E_form: -728.5 meV per atom
theoretical density: 3.95 g cm⁻³

a = 4.102 Å, b = 4.102 Å, c = 5.622 Å
α = 90.00°, β = 90.00°, γ = 90.00°
Fractional coordinates of all 4 atoms:
La 0.000 0.000 0.000
Mg 0.500 0.500 0.500
P 0.000 0.000 0.500
P 0.500 0.500 0.000



Compound: LaMgP
Source: the Alexandria database
Functional: PBEsol
Structure: relaxed

Summary:
E: -5.129 eV/atom
magnetic moment: 0.00 μB per formula unit
DOS(E_F): 0.21 states/eV/f.u.
E_form: -844.3 meV per atom
theoretical density: 4.79 g cm⁻³

a = 4.342 Å, b = 4.342 Å, c = 4.125 Å
α = 90.00°, β = 90.00°, γ = 120.00°
Fractional coordinates of all 3 atoms:
La 0.000 0.000 0.000
Mg 0.333 0.667 0.500
P 0.667 0.333 0.500



Compound: LaMgPb2
Source: the Alexandria database
Functional: PBEsol
Structure: relaxed

Summary:
E: -3.947 eV/atom
magnetic moment: 0.00 μB per formula unit
DOS(E_F): 3.04 states/eV/f.u.
E_form: -181.9 meV per atom
theoretical density: 8.28 g cm⁻³

a = 7.738 Å, b = 7.738 Å, c = 7.738 Å
α = 90.00°, β = 90.00°, γ = 90.00°
Fractional coordinates of all 16 atoms:
La 0.000 0.000 0.000
La 0.000 0.500 0.500
La 0.500 0.000 0.500
La 0.500 0.500 0.000
Mg 0.250 0.250 0.750
Mg 0.250 0.750 0.250
Mg 0.750 0.250 0.250
Mg 0.750 0.750 0.750
Pb 0.000 0.000 0.500
Pb 0.000 0.500 0.000
Pb 0.250 0.250 0.250
Pb 0.250 0.750 0.750
Pb 0.500 0.000 0.000
Pb 0.500 0.500 0.500
Pb 0.750 0.250 0.750
Pb 0.750 0.750 0.250



Compound: LaMgPb2
Source: the Alexandria database
Functional: PBEsol
Structure: relaxed

Summary:
E: -4.090 eV/atom
magnetic moment: 0.00 μB per formula unit
DOS(E_F): 2.57 states/eV/f.u.
E_form: -325.3 meV per atom
theoretical density: 8.75 g cm⁻³

a = 3.835 Å, b = 3.835 Å, c = 7.453 Å
α = 90.00°, β = 90.00°, γ = 90.00°
Fractional coordinates of all 4 atoms:
La 0.000 0.000 0.000
Mg 0.000 0.000 0.500
Pb 0.500 0.500 0.283
Pb 0.500 0.500 0.717